# PBE with a Hubbard U Rb2TiW3O12, optimized geometry
# - calculated total energy (eV per atom) = -7.301
data_Rb2TiW3O12
_cell_length_a 12.6399
_cell_length_b 7.3833
_cell_length_c 7.3195
_cell_angle_alpha 90.00
_cell_angle_beta 124.68
_cell_angle_gamma 90.00
_symmetry_space_group_name_H-M 'C 1 2 1'
_symmetry_Int_Tables_number 5
loop_
_symmetry_equiv_pos_as_xyz
'x,y,z'
'-x,y,-z'
'x+1/2,y+1/2,z'
'-x+1/2,y+1/2,-z'
loop_
_atom_site_label
_atom_site_type_symbol
_atom_site_fract_x
_atom_site_fract_y
_atom_site_fract_z
Rb1 Rb 0.1325 0.0000 0.3667
Ti1 Ti 0.0000 0.5054 0.0000
W1 W 0.0000 0.5073 0.5000
W2 W 0.2495 0.7569 0.9997
O1 O 0.0601 0.5085 0.3132
O2 O 0.1264 0.6950 0.0599
O3 O 0.1266 0.3216 0.0603
O4 O 0.1268 0.3215 0.6867
O5 O 0.1266 0.6951 0.6863
O6 O 0.1865 0.0081 0.9399